1.
Density functional theory data (PBE-GGA) for Ac4NdTe6 after structural relaxation.

**Energy relative to the elements, uncorrected**: -1.4548 eV/atom

Lattice parameters (Å, degrees): 13.1624 13.1624 15.8213 90.00 90.00 120.00
Space group R-3c (No. 167, hexagonal axes)
Unique sites:
Ac: 0.0000 0.0000 0.2500 x6
Ac: 0.0000 0.3900 0.2500 x18
Nd: 0.0000 0.0000 0.0000 x6
Te: 0.0324 0.2074 0.3854 x36



2.
Density functional theory data (PBE-GGA) for AcNdTe after structural relaxation.

**Energy relative to the elements, uncorrected**: -0.8075 eV/atom
**Offset from the most stable computed form**: 0.014 eV per atom

Lattice parameters (Å, degrees): 4.312 6.371 8.691 90.00 104.34 90.00
Space group P2_1/m (No. 11)
Unique sites:
Ac: 0.056 0.250 0.110 x2
Nd: 0.342 0.250 0.686 x2
Te: 0.296 0.750 0.592 x2



3.
Density functional theory data (PBE-GGA) for AcNdTe3 after structural relaxation.

**Energy relative to the elements, uncorrected**: -1.5361 eV/atom
**Offset from the most stable computed form**: 0.000 eV per atom

Lattice parameters (Å, degrees): 8.562 4.652 17.863 90.00 90.00 90.00
Space group Pnma (No. 62)
Unique sites:
Ac: 0.136 0.250 0.200 x4
Nd: 0.229 0.750 0.458 x4
Te: 0.006 0.250 0.394 x4
Te: 0.121 0.750 0.061 x4
Te: 0.155 0.250 0.785 x4



4.
Density functional theory data (PBE-GGA) for Ac4NdTe5 after structural relaxation.

**Energy relative to the elements, uncorrected**: -1.4708 eV/atom
**Offset from the most stable computed form**: 0.005 eV per atom

Lattice parameters (Å, degrees): 10.469 10.469 6.645 90.00 90.00 90.00
Space group I4 (No. 79)
Unique sites:
Ac: 0.096 0.303 0.000 x8
Nd: 0.000 0.000 0.499 x2
Te: 0.000 0.000 0.999 x2
Te: 0.100 0.291 0.500 x8



5.
Density functional theory data (PBE-GGA) for AcNd4Te5 after structural relaxation.

**Energy relative to the elements, uncorrected**: -1.4200 eV/atom
**Offset from the most stable computed form**: 0.014 eV per atom

Lattice parameters (Å, degrees): 4.552 4.552 32.206 90.00 90.00 90.00
Space group I4/mmm (No. 139)
Unique sites:
Ac: 0.000 0.000 0.000 x2
Nd: 0.000 0.000 0.199 x4
Nd: 0.000 0.000 0.398 x4
Te: 0.000 0.000 0.102 x4
Te: 0.000 0.000 0.299 x4
Te: 0.000 0.000 0.500 x2



6.
Density functional theory data (PBE-GGA) for AcNdTe6 after structural relaxation.

**Energy relative to the elements, uncorrected**: -1.0187 eV/atom

Lattice parameters (Å, degrees): 4.449 4.449 28.052 90.00 90.00 90.00
Space group Amm2 (No. 38)
Unique sites:
Ac: 0.000 0.000 0.000 x2
Nd: 0.500 0.000 0.657 x2
Te: 0.000 0.000 0.124 x2
Te: 0.000 0.000 0.402 x2
Te: 0.000 0.000 0.748 x2
Te: 0.500 0.000 0.248 x2
Te: 0.500 0.000 0.538 x2
Te: 0.500 0.000 0.902 x2



7.
Density functional theory data (PBE-GGA) for Ac2NdTe after structural relaxation.

**Energy relative to the elements, uncorrected**: -0.5598 eV/atom
**Offset from the most stable computed form**: 0.009 eV per atom

Lattice parameters (Å, degrees): 4.1765 4.1765 32.5679 90.00 90.00 120.00
Space group R-3m (No. 166, hexagonal axes)
Unique sites:
Ac: 0.0000 0.0000 0.2388 x6
Nd: 0.0000 0.0000 0.0000 x3
Te: 0.0000 0.0000 0.5000 x3



8.
Density functional theory data (PBE-GGA) for AcNd5Te6 after structural relaxation.

**Energy relative to the elements, uncorrected**: -1.4309 eV/atom

Lattice parameters (Å, degrees): 7.851 13.655 7.856 90.00 109.65 90.00
Space group C2/m (No. 12)
Unique sites:
Ac: 0.000 0.000 0.000 x2
Nd: 0.000 0.161 0.500 x4
Nd: 0.000 0.332 0.000 x4
Nd: 0.000 0.500 0.500 x2
Te: 0.240 0.500 0.249 x4
Te: 0.243 0.329 0.743 x8



9.
Density functional theory data (PBE-GGA) for Ac2NdTe4 after structural relaxation.

**Energy relative to the elements, uncorrected**: -1.4568 eV/atom
**Offset from the most stable computed form**: 0.046 eV per atom

Lattice parameters (Å, degrees): 4.475 15.680 15.674 90.00 90.00 90.00
Space group Cmcm (No. 63)
Unique sites:
Ac: 0.000 0.132 0.075 x8
Nd: 0.000 0.371 0.250 x4
Te: 0.000 0.018 0.250 x4
Te: 0.000 0.218 0.626 x8
Te: 0.000 0.500 0.000 x4



10.
Density functional theory data (PBE-GGA) for AcNdTe after structural relaxation.

**Energy relative to the elements, uncorrected**: -0.5836 eV/atom
**Offset from the most stable computed form**: 0.238 eV per atom

Lattice parameters (Å, degrees): 5.4418 5.4418 4.2550 90.00 90.00 120.00
Space group P3m1 (No. 156)
Unique sites:
Ac: 0.0000 0.0000 0.0000 x1
Nd: 0.3333 0.6667 0.4999 x1
Te: 0.6667 0.3333 0.4988 x1



11.
Density functional theory data (PBE-GGA) for Ac4NdTe7 after structural relaxation.

**Energy relative to the elements, uncorrected**: -1.5427 eV/atom

Lattice parameters (Å, degrees): 15.486 4.581 13.736 90.00 105.03 90.00
Space group Cm (No. 8)
Unique sites:
Ac: 0.000 0.000 0.000 x2
Ac: 0.099 0.500 0.380 x2
Ac: 0.202 0.000 0.772 x2
Ac: 0.399 0.500 0.561 x2
Nd: 0.273 0.500 0.141 x2
Te: 0.061 0.500 0.621 x2
Te: 0.127 0.500 0.923 x2
Te: 0.160 0.000 0.220 x2
Te: 0.237 0.000 0.523 x2
Te: 0.358 0.500 0.781 x2
Te: 0.362 0.000 0.042 x2
Te: 0.435 0.500 0.335 x2



12.
Density functional theory data (PBE-GGA) for AcNd2Te5 after structural relaxation.

**Energy relative to the elements, uncorrected**: -1.3581 eV/atom

Lattice parameters (Å, degrees): 8.458 8.458 14.541 90.00 90.00 90.00
Space group I4/mcm (No. 140)
Unique sites:
Ac: 0.000 0.000 0.250 x4
Nd: 0.153 0.347 0.000 x8
Te: 0.000 0.000 0.000 x4
Te: 0.153 0.347 0.353 x16